# 1
Computed, not measured: AlI3Cl after structural relaxation at the GGA-PBE level of DFT.

Lattice parameters (Å, degrees): 8.8202 8.8210 8.8170 88.80 109.05 134.02
With the nearest neighbours (Å) after each atom.
Fractional coordinates of all 10 atoms:
Al1 0.5317 0.0316 0.0001  2 Cl 2.32
Al2 0.0316 0.5316 0.9999  2 Cl 2.32
I1 0.0317 0.3088 0.7772  1 Al 2.81
I2 0.0319 0.7546 0.2229  1 Al 2.81
I3 0.5315 0.8088 0.7771  1 Al 2.81
I4 0.9884 0.2819 0.2068  2 Al 2.73
I5 0.5317 0.2546 0.2228  1 Al 2.81
I6 0.0749 0.7814 0.7932  2 Al 2.73
Cl1 0.4333 0.7818 0.1517  2 Al 2.32
Cl2 0.6299 0.2815 0.8483  2 Al 2.32

Properties
- final energy (eV/atom) = -2.6833
- D(E_F) (states/eV/f.u.) = 1.92
- formation energy from raw total energies (eV per formula unit) = -3.2

# 2
Computed, not measured: AlI2Cl6 after structural relaxation at the GGA-PBE level of DFT.

Lattice parameters (Å, degrees): 9.8088 9.0364 9.0364 72.53 79.06 79.06
With the nearest neighbours (Å) after each atom.
Fractional coordinates of all 18 atoms:
Al1 0.2500 0.8978 0.1022  4 Cl 2.11-2.23
Al2 0.7500 0.1022 0.8978  4 Cl 2.11-2.23
I1 0.4804 0.2500 0.2682  1 Cl 2.38
I2 0.0196 0.7318 0.7500  1 Cl 2.38
I3 0.5196 0.7500 0.7318  1 Cl 2.38
I4 0.9804 0.2682 0.2500  1 Cl 2.38
Cl1 0.7615 0.3744 0.3698  1 I 2.38
Cl2 0.7385 0.6302 0.6256  1 I 2.38
Cl3 0.2385 0.6256 0.6302  1 I 2.38
Cl4 0.2615 0.3698 0.3744  1 I 2.38
Cl5 0.9373 0.1932 0.7832  1 Al 2.11
Cl6 0.5627 0.2168 0.8068  1 Al 2.11
Cl7 0.0627 0.8068 0.2168  1 Al 2.11
Cl8 0.4373 0.7832 0.1932  1 Al 2.11
Cl9 0.7264 0.0887 0.1519  1 Al 2.23
Cl10 0.7736 0.8481 0.9113  1 Al 2.23
Cl11 0.2736 0.9113 0.8481  1 Al 2.23
Cl12 0.2264 0.1519 0.0887  1 Al 2.23

Properties
- final energy (eV/atom) = -2.7126
- D(E_F) (states/eV/f.u.) = 4.15
- formation energy from raw total energies (eV per formula unit) = -6.5

# 3
Computed, not measured: AlICl2 after structural relaxation at the GGA-PBE level of DFT.

Lattice parameters (Å, degrees): 6.1050 6.7266 16.7916 90.00 90.00 90.03
With the nearest neighbours (Å) after each atom.
Fractional coordinates of all 16 atoms:
Al1 0.0006 0.2506 0.3417  2 Cl 2.10
Al2 0.9994 0.7494 0.6583  2 Cl 2.10
Al3 0.5006 0.2495 0.1582  2 Cl 2.10
Al4 0.4994 0.7505 0.8418  2 Cl 2.10
I1 0.7493 0.5206 0.7503  2 Al 2.66
I2 0.2507 0.4794 0.2497  2 Al 2.66
I3 0.2495 0.9793 0.7499  2 Al 2.66
I4 0.7505 0.0207 0.2501  2 Al 2.66
Cl1 0.3034 0.0411 0.0986  1 Al 2.10
Cl2 0.6966 0.9589 0.9014  1 Al 2.10
Cl3 0.8037 0.4590 0.4013  1 Al 2.10
Cl4 0.1963 0.5410 0.5987  1 Al 2.10
Cl5 0.3023 0.5429 0.9019  1 Al 2.10
Cl6 0.6977 0.4571 0.0981  1 Al 2.10
Cl7 0.8026 0.9570 0.5983  1 Al 2.10
Cl8 0.1974 0.0430 0.4017  1 Al 2.10

Properties
- final energy (eV/atom) = -3.4401
- D(E_F) (states/eV/f.u.) = 0.00
- formation energy from raw total energies (eV per formula unit) = -4.8

# 4
Computed, not measured: AlI3Cl4 after structural relaxation at the GGA-PBE level of DFT.

Lattice parameters (Å, degrees): 11.4921 8.7259 8.1286 90.00 89.99 90.00
With the nearest neighbours (Å) after each atom.
Fractional coordinates of all 16 atoms:
I1 0.4414 0.0000 0.4692  2 I 2.76
I2 0.9142 0.7442 0.3186  1 I 2.76, 1 Cl 2.88
I3 0.4144 0.7558 0.6815  1 I 2.76, 1 Cl 2.87
I4 0.9409 0.5000 0.5309  2 I 2.76
I5 0.4144 0.2442 0.6815  1 I 2.76, 1 Cl 2.87
I6 0.9142 0.2558 0.3186  1 I 2.76, 1 Cl 2.88
Al1 0.0538 0.0000 0.9455  4 Cl 2.12-2.30
Al2 0.5535 0.5000 0.0545  4 Cl 2.12-2.30
Cl1 0.8855 0.0000 0.0993  1 Al 2.30
Cl2 0.1940 0.0000 0.1150  1 Al 2.12
Cl3 0.0412 0.7940 0.8052  1 Al 2.13
Cl4 0.5407 0.7061 0.1946  1 Al 2.13
Cl5 0.6940 0.5000 0.8855  1 Al 2.12
Cl6 0.3853 0.5000 0.9004  1 Al 2.30
Cl7 0.5407 0.2939 0.1946  1 Al 2.13
Cl8 0.0412 0.2060 0.8052  1 Al 2.13

Properties
- final energy (eV/atom) = -2.7548
- formation energy from raw total energies (eV per formula unit) = -6.3

# 5
Computed, not measured: AlI2Cl8 after structural relaxation at the GGA-PBE level of DFT.

Lattice parameters (Å, degrees): 7.1605 7.4016 10.6855 113.79 90.00 118.93
With the nearest neighbours (Å) after each atom.
Fractional coordinates of all 11 atoms:
Al1 0.0000 0.0000 0.0000  4 Cl 2.21
I1 0.3145 0.6290 0.4097  2 Cl 2.46
I2 0.6855 0.3710 0.5903  2 Cl 2.46
Cl1 0.1072 0.7697 0.8646  1 Al 2.21
Cl2 0.3375 0.2303 0.1354  1 Al 2.21
Cl3 0.1744 0.3488 0.5049  1 I 2.46
Cl4 0.8256 0.6512 0.4951  1 I 2.46
Cl5 0.6625 0.7697 0.8646  1 Al 2.21
Cl6 0.8928 0.2303 0.1354  1 Al 2.21
Cl7 0.4554 0.9108 0.3148  1 I 2.46
Cl8 0.5446 0.0892 0.6852  1 I 2.46

Properties
- final energy (eV/atom) = -2.4379
- D(E_F) (states/eV/f.u.) = 5.62
- formation energy from raw total energies (eV per formula unit) = -5.2

# 6
Computed, not measured: Al2InICl after structural relaxation at the GGA-PBE level of DFT.

Lattice parameters (Å, degrees): 6.0020 6.6846 6.0020 90.00 90.00 90.00
With the nearest neighbours (Å) after each atom.
Fractional coordinates of all 5 atoms:
I1 0.0000 0.0000 0.0000  4 Al 3.00, 2 In 3.34
Cl1 0.5000 0.5000 0.5000  4 In 4.24, 8 Al 4.49
Al1 0.0000 0.0000 0.5000  2 I 3.00
Al2 0.5000 0.0000 0.0000  2 I 3.00
In1 0.0000 0.5000 0.0000  2 I 3.34

Properties
- final energy (eV/atom) = -2.1793
- D(E_F) (states/eV/f.u.) = 2.46
- formation energy from raw total energies (eV per formula unit) = 2.7

# 7
Computed, not measured: AlIrICl2 after structural relaxation at the GGA-PBE level of DFT.

Lattice parameters (Å, degrees): 4.8535 5.4839 4.8535 90.00 90.00 90.00
With the nearest neighbours (Å) after each atom.
Fractional coordinates of all 5 atoms:
I1 0.0000 0.5000 0.0000  2 Ir 2.74
Ir1 0.0000 0.0000 0.0000  4 Cl 2.43
Al1 0.5000 0.5000 0.5000  4 I 3.43, 8 Cl 3.66
Cl1 0.0000 0.0000 0.5000  2 Ir 2.43
Cl2 0.5000 0.0000 0.0000  2 Ir 2.43

Properties
- final energy (eV/atom) = -3.4397
- D(E_F) (states/eV/f.u.) = 2.41
- formation energy from raw total energies (eV per formula unit) = 0.6

# 8
Computed, not measured: MgAl2ICl after structural relaxation at the GGA-PBE level of DFT.

Lattice parameters (Å, degrees): 5.5854 4.8019 5.5854 90.00 90.00 90.00
With the nearest neighbours (Å) after each atom.
Fractional coordinates of all 5 atoms:
I1 0.5000 0.5000 0.5000  8 Al 3.68, 4 Cl 3.95
Mg1 0.0000 0.0000 0.0000  2 Cl 2.40
Al1 0.0000 0.0000 0.5000  2 Mg 2.79
Al2 0.5000 0.0000 0.0000  2 Mg 2.79
Cl1 0.0000 0.5000 0.0000  2 Mg 2.40

Properties
- final energy (eV/atom) = -2.5172
- D(E_F) (states/eV/f.u.) = 1.32
- formation energy from raw total energies (eV per formula unit) = -0.1

# 9
Computed, not measured: AlI2NCl after structural relaxation at the GGA-PBE level of DFT.

Lattice parameters (Å, degrees): 6.9744 6.9744 3.3662 90.00 90.00 90.00
With the nearest neighbours (Å) after each atom.
Fractional coordinates of all 5 atoms:
I1 0.0000 0.5000 0.0000  2 I 3.37, 2 Cl 3.49
I2 0.5000 0.0000 0.0000  2 I 3.37, 2 Cl 3.49
N1 0.0000 0.0000 0.5000  2 Cl 1.68
Al1 0.5000 0.5000 0.5000  2 Al 3.37
Cl1 0.0000 0.0000 0.0000  2 N 1.68

Properties
- final energy (eV/atom) = -2.3735
- D(E_F) (states/eV/f.u.) = 3.44
- formation energy from raw total energies (eV per formula unit) = 5.1

# 10
Computed, not measured: AlI2NCl after structural relaxation at the GGA-PBE level of DFT.

Lattice parameters (Å, degrees): 6.0089 6.0089 3.4656 90.00 90.00 90.00
With the nearest neighbours (Å) after each atom.
Fractional coordinates of all 5 atoms:
I1 0.0000 0.5000 0.0000  2 Al 3.00
I2 0.5000 0.0000 0.0000  2 Al 3.00
N1 0.0000 0.0000 0.5000  2 Al 1.73
Al1 0.0000 0.0000 0.0000  2 N 1.73
Cl1 0.5000 0.5000 0.5000  2 Cl 3.47, 8 I 3.47

Properties
- final energy (eV/atom) = -3.1031
- D(E_F) (states/eV/f.u.) = 7.42
- formation energy from raw total energies (eV per formula unit) = 1.5